i:
Below is a geometry-optimized TlVFe2 structure, with properties calculated at the PBE-GGA level.

Total moment   2.5 μB/f.u.
SG   No. 122
D(E_F)   0.847 states/eV per atom

Unit cell a=6.877 b=6.877 c=5.564 alpha=51.83 beta=51.83 gamma=90.00
Site moments in Bohr magnetons follow the coordinates.
Atoms (fractional coordinates):
1 Tl 0.000 0.000 0.000  -0.01
2 Tl 0.750 0.250 0.500  -0.01
3 Fe 0.574 0.125 0.250  1.91
4 Fe 0.176 0.625 0.250  1.91
5 Fe 0.375 0.426 0.750  1.91
6 Fe 0.875 0.824 0.750  1.91
7 V 0.500 0.500 0.000  -1.27
8 V 0.250 0.750 0.500  -1.27

=====

ii:
Below is a geometry-optimized TlVFe2 structure, with properties calculated at the PBE-GGA level.

Total moment   0.0 μB/f.u.
SG   No. 225
D(E_F)   0.241 states/eV per atom

Unit cell a=4.265 b=4.265 c=4.265 alpha=60.00 beta=60.00 gamma=60.00
Atoms (fractional coordinates):
1 Tl 0.500 0.500 0.500
2 Fe 0.250 0.250 0.250
3 Fe 0.750 0.750 0.750
4 V 0.000 0.000 0.000

=====

Which structure wins on stability? ii wins.

=====

i:
Below is a geometry-optimized TlV2Fe structure, with properties calculated at the PBE-GGA level.

Total moment   0.4 μB/f.u.
SG   No. 225
D(E_F)   1.589 states/eV per atom

Unit cell a=4.449 b=4.449 c=4.449 alpha=60.00 beta=60.00 gamma=60.00
Site moments in Bohr magnetons follow the coordinates.
Atoms (fractional coordinates):
1 Tl 0.500 0.500 0.500  0.04
2 Fe 0.000 0.000 0.000  2.50
3 V 0.250 0.250 0.250  -0.96
4 V 0.750 0.750 0.750  -0.96

=====

ii:
Below is a geometry-optimized TlV2Fe structure, with properties calculated at the PBE-GGA level.

Total moment   0.0 μB/f.u.
SG   No. 122
D(E_F)   1.155 states/eV per atom

Unit cell a=6.994 b=6.994 c=5.597 alpha=51.34 beta=51.34 gamma=90.00
Atoms (fractional coordinates):
1 Tl 0.000 0.000 0.000
2 Tl 0.750 0.250 0.500
3 Fe 0.500 0.500 0.000
4 Fe 0.250 0.750 0.500
5 V 0.558 0.125 0.250
6 V 0.192 0.625 0.250
7 V 0.375 0.442 0.750
8 V 0.875 0.808 0.750

=====

Which structure wins on stability? i wins.

=====

i:
Below is a geometry-optimized Tl2FeW structure, with properties calculated at the PBE-GGA level.

Total moment   2.6 μB/f.u.
SG   No. 10
D(E_F)   0.646 states/eV per atom

Unit cell a=3.000 b=5.443 c=5.831 alpha=53.10 beta=90.00 gamma=90.00
Site moments in Bohr magnetons follow the coordinates.
Atoms (fractional coordinates):
1 Fe 0.000 0.000 0.500  2.73
2 Tl 0.000 0.000 0.000  -0.01
3 Tl 0.500 0.500 0.000  -0.03
4 W 0.500 0.500 0.500  -0.04

=====

ii:
Below is a geometry-optimized Tl2FeW structure, with properties calculated at the PBE-GGA level.

Total moment   0.3 μB/f.u.
SG   No. 122
D(E_F)   1.412 states/eV per atom

Unit cell a=7.479 b=7.479 c=5.988 alpha=51.36 beta=51.36 gamma=90.00
Site moments in Bohr magnetons follow the coordinates.
Atoms (fractional coordinates):
1 Tl 0.597 0.125 0.250  0.01
2 Tl 0.153 0.625 0.250  0.00
3 Tl 0.375 0.403 0.750  0.00
4 Tl 0.875 0.847 0.750  0.00
5 Fe 0.500 0.500 0.000  0.02
6 Fe 0.250 0.750 0.500  0.03
7 W 0.000 0.000 0.000  -0.26
8 W 0.750 0.250 0.500  -0.26

=====

Which structure wins on stability? i wins.

=====

i:
Below is a geometry-optimized Tl2FeW structure, with properties calculated at the PBE-GGA level.

Total moment   2.9 μB/f.u.
SG   No. 12
D(E_F)   0.725 states/eV per atom

Unit cell a=5.036 b=5.036 c=5.456 alpha=78.52 beta=78.52 gamma=34.29
Site moments in Bohr magnetons follow the coordinates.
Atoms (fractional coordinates):
1 Fe 0.250 0.250 0.250  2.74
2 Tl 0.994 0.994 0.004  -0.01
3 Tl 0.506 0.506 0.496  -0.01
4 W 0.750 0.750 0.750  0.13

=====

ii:
Below is a geometry-optimized Tl2FeW structure, with properties calculated at the PBE-GGA level.

Total moment   2.7 μB/f.u.
SG   No. 65
D(E_F)   0.567 states/eV per atom

Unit cell a=3.009 b=3.009 c=9.443 alpha=90.00 beta=90.00 gamma=116.12
Site moments in Bohr magnetons follow the coordinates.
Atoms (fractional coordinates):
1 Fe 0.500 0.500 0.750  2.71
2 Tl 0.000 0.000 0.989  -0.02
3 Tl 0.000 0.000 0.511  -0.02
4 W 0.500 0.500 0.250  0.05

=====

iii:
Below is a geometry-optimized Tl2FeW structure, with properties calculated at the PBE-GGA level.

Total moment   2.1 μB/f.u.
SG   No. 44
D(E_F)   0.774 states/eV per atom

Unit cell a=6.256 b=6.256 c=6.256 alpha=152.11 beta=134.53 gamma=54.19
Site moments in Bohr magnetons follow the coordinates.
Atoms (fractional coordinates):
1 Fe 0.291 0.791 0.500  2.23
2 Tl 0.016 0.016 0.000  0.01
3 Tl 0.732 0.232 0.500  -0.02
4 W 0.461 0.461 0.000  -0.21

=====

iv:
Below is a geometry-optimized Tl2FeW structure, with properties calculated at the PBE-GGA level.

Total moment   0.0 μB/f.u.
SG   No. 160
D(E_F)   0.764 states/eV per atom

Unit cell a=9.130 b=9.130 c=9.130 alpha=20.82 beta=20.82 gamma=20.82
Atoms (fractional coordinates):
1 Fe 0.765 0.765 0.765
2 Tl 0.013 0.013 0.013
3 Tl 0.242 0.242 0.242
4 W 0.481 0.481 0.481

=====

Which structure wins on stability? iv wins.